DFT (PBE-GGA) results for a relaxed BeCr2Se crystal.

Unit cell a=8.0025 b=2.9935 c=4.1843 alpha=90.00 beta=97.03 gamma=90.00
Closest atoms and distances in Å follow each position.
Space group C2/m (No. 12)
Asymmetric unit:
Be1 0.0000 0.0000 0.0000 x2  6 Cr 2.30-2.55, 4 Se 2.57
Cr1 0.2471 0.5000 0.2072 x4  2 Cr 2.30, 3 Be 2.30-2.55, 1 Se 2.45
Se1 0.0000 0.5000 0.5000 x2  6 Cr 2.45-2.69, 4 Be 2.57

Output
Raw formation energy (eV/atom): 0.298
E_tot (eV/atom): -6.3168
ΔE to the lowest computed polymorph (meV/atom): 190
Magnetization (μB/f.u.): 0.00

***

DFT (PBE-GGA) results for a relaxed Be2CrSe crystal.

Unit cell a=4.8966 b=6.0016 c=3.2850 alpha=90.00 beta=90.00 gamma=90.00
Closest atoms and distances in Å follow each position.
Space group Cmmm (No. 65)
Asymmetric unit:
Be1 0.2500 0.2500 0.0000 x4  2 Be 2.45, 4 Cr 2.54, 4 Se 2.54
Cr1 0.0000 0.0000 0.5000 x2  2 Se 2.45, 8 Be 2.54
Se1 0.0000 0.5000 0.5000 x2  2 Cr 2.45, 8 Be 2.54

Output
Raw formation energy (eV/atom): 0.317
E_tot (eV/atom): -4.8227
Magnetization (μB/f.u.): 2.42

***

DFT (PBE-GGA) results for a relaxed Be2CrSe crystal.

Unit cell a=2.7863 b=2.7863 c=22.5107 alpha=90.00 beta=90.00 gamma=120.00
Closest atoms and distances in Å follow each position.
Space group R-3m (No. 166, hexagonal axes)
Asymmetric unit:
Be1 0.0000 0.0000 0.2460 x6  3 Cr 2.40, 3 Se 2.54
Cr1 0.0000 0.0000 0.5000 x3  6 Be 2.40
Se1 0.0000 0.0000 0.0000 x3  6 Be 2.54, 6 Se 2.79

Output
Raw formation energy (eV/atom): 0.599
E_tot (eV/atom): -4.5406
Magnetization (μB/f.u.): 0.00